(1)
Here is crystalline MnNi2Mo at its relaxed geometry from Alexandria via LeMat-Bulk. Energies are from GGA-PBE.

a = 4.1765 Å, b = 4.1765 Å, c = 4.1765 Å
α = 60.00°, β = 60.00°, γ = 60.00°
Closest atoms and distances in Å follow each position.
Positions (direct):
Ni1 0.2500 0.2500 0.2500  4 Mo 2.56, 4 Mn 2.56
Ni2 0.7500 0.7500 0.7500  4 Mn 2.56, 4 Mo 2.56
Mo1 0.5000 0.5000 0.5000  8 Ni 2.56
Mn1 0.0000 0.0000 0.0000  8 Ni 2.56

Fermi-level density of states = 1.05 states/eV/atom
ΔH_f (0 K) = 132 meV/atom
excess energy over the best structure of this formula in the dataset = 170 meV per atom

=====

(2)
Here is crystalline ErPu2Tc at its relaxed geometry from Alexandria via LeMat-Bulk. Energies are from GGA-PBE.

a = 3.2594 Å, b = 3.2594 Å, c = 10.7974 Å
α = 81.32°, β = 81.32°, γ = 60.00°
Closest atoms and distances in Å follow each position.
Positions (direct):
Er1 0.0000 0.0000 0.0000  2 Pu 3.18, 6 Er 3.26
Tc1 0.5000 0.5000 0.5000  6 Pu 2.85
Pu1 0.0997 0.0997 0.7008  3 Tc 2.85, 1 Er 3.18
Pu2 0.9003 0.9003 0.2992  3 Tc 2.85, 1 Er 3.18

Fermi-level density of states = 3.17 states/eV/atom
ΔH_f (0 K) = 339 meV/atom
excess energy over the best structure of this formula in the dataset = 253 meV per atom